# 1
RbSmAg after structural relaxation. Source: OQMD, functional PBE.

Values from the calculation:
Uncorrected energy (eV per atom): -2.08

Cell and atoms, written as CIF:
```
data_RbSmAg
_chemical_formula_sum 'Rb4 Sm4 Ag4'
_symmetry_space_group_name_H-M 'F -4 3 m'
_symmetry_Int_Tables_number 216
_symmetry_space_group_name_Hall 'F -4 2 3'
_cell_length_a 7.496
_cell_length_b 7.496
_cell_length_c 7.496
_cell_angle_alpha 90.00
_cell_angle_beta 90.00
_cell_angle_gamma 90.00
loop_
_atom_site_label
_atom_site_type_symbol
_atom_site_fract_x
_atom_site_fract_y
_atom_site_fract_z
Rb1 Rb 0.000 0.000 0.000
Sm1 Sm 0.250 0.250 0.750
Ag1 Ag 0.000 0.000 0.500
```



# 2
Co2P3 after structural relaxation. Source: OQMD, functional PBE.

Values from the calculation:
Uncorrected energy (eV per atom): -6.44

Cell and atoms, written as CIF:
```
data_Co2P3
_chemical_formula_sum 'Co12 P18'
_symmetry_space_group_name_H-M 'R -3 c'
_symmetry_Int_Tables_number 167
_symmetry_space_group_name_Hall '-R 3 2"c'
_cell_length_a 5.7630
_cell_length_b 5.7630
_cell_length_c 13.7167
_cell_angle_alpha 90.00
_cell_angle_beta 90.00
_cell_angle_gamma 120.00
loop_
_atom_site_label
_atom_site_type_symbol
_atom_site_fract_x
_atom_site_fract_y
_atom_site_fract_z
Co1 Co 0.0000 0.0000 0.1598
P1 P 0.0000 0.3346 0.2500
```



# 3
YTaNiPb after structural relaxation. Source: OQMD, functional PBE.

Values from the calculation:
Uncorrected energy (eV per atom): -6.40

Cell and atoms, written as CIF:
```
data_YTaNiPb
_chemical_formula_sum 'Y4 Ta4 Ni4 Pb4'
_symmetry_space_group_name_H-M 'F -4 3 m'
_symmetry_Int_Tables_number 216
_symmetry_space_group_name_Hall 'F -4 2 3'
_cell_length_a 6.943
_cell_length_b 6.943
_cell_length_c 6.943
_cell_angle_alpha 90.00
_cell_angle_beta 90.00
_cell_angle_gamma 90.00
loop_
_atom_site_label
_atom_site_type_symbol
_atom_site_fract_x
_atom_site_fract_y
_atom_site_fract_z
Y1 Y 0.000 0.000 0.000
Ta1 Ta 0.250 0.250 0.250
Ni1 Ni 0.250 0.250 0.750
Pb1 Pb 0.000 0.000 0.500
```



# 4
Pr2Ho2SiI5 after structural relaxation. Source: OQMD, functional PBE.

Values from the calculation:
Energy relative to the lowest polymorph listed for this composition (meV per atom): 0
Uncorrected energy (eV per atom): -4.39

Cell and atoms, written as CIF:
```
data_Pr2Ho2SiI5
_chemical_formula_sum 'Pr4 Ho4 Si2 I10'
_symmetry_space_group_name_H-M 'C 1 2/m 1'
_symmetry_Int_Tables_number 12
_cell_length_a 19.401
_cell_length_b 4.262
_cell_length_c 9.166
_cell_angle_alpha 90.00
_cell_angle_beta 102.39
_cell_angle_gamma 90.00
loop_
_symmetry_equiv_pos_as_xyz
'x,y,z'
'-x,-y,-z'
'-x,y,-z'
'x,-y,z'
'x+1/2,y+1/2,z'
'-x+1/2,-y+1/2,-z'
'-x+1/2,y+1/2,-z'
'x+1/2,-y+1/2,z'
loop_
_atom_site_label
_atom_site_type_symbol
_atom_site_fract_x
_atom_site_fract_y
_atom_site_fract_z
Pr1 Pr 0.001 0.000 0.286
Ho1 Ho 0.143 0.500 0.573
Si1 Si 0.000 0.500 0.500
I1 I 0.000 0.500 0.000
I2 I 0.169 0.000 0.821
I3 I 0.176 0.000 0.347
```



Q: Among the records above, which one has the highest uncorrected energy?
A: RbSmAg



Q: Which value of uncorrected energy does entry 3 give?
A: -6.40 eV per atom



Q: Among the records above, which one has the lowest uncorrected energy?
A: Co2P3